No. 1
A relaxed PuPaCdSn crystal, computed with GGA-PBE.

The structure belongs to space group F-43m (No. 216); the cell edges are 7.524, 7.524 and 7.524 Å and the angles 90.00°, 90.00° and 90.00°. The distinct sites, in fractional coordinates, are Pu at (0.000, 0.000, 0.000), Pa at (0.000, 0.000, 0.500), Cd at (0.250, 0.250, 0.750) and Sn at (0.250, 0.250, 0.250).

Its formation energy is 0.0316 eV/atom. The value obtained for the total magnetic moment is 7.9 μB per formula unit. The total energy is -7.15 eV per atom. Its mass density is 11.01 Mg/m³.

***

No. 2
A relaxed Dy3BiTe2 crystal, computed with GGA-PBE.

The structure belongs to space group Immm (No. 71); the cell edges are 4.393, 6.212 and 13.191 Å and the angles 90.00°, 90.00° and 90.00°. The distinct sites, in fractional coordinates, are Dy at (0.000, 0.000, 0.000), Dy at (0.000, 0.000, 0.333), Bi at (0.000, 0.500, 0.000) and Te at (0.000, 0.500, 0.334).

Its formation energy from raw total energies is -1158 meV per atom. The value obtained for the total magnetic moment is 0.0 μB per formula unit. The total energy is -5.15 eV per atom. Its mass density is 8.78 Mg/m³.

***

No. 3
A relaxed CeIn2Si crystal, computed with GGA-PBE.

The structure belongs to space group P4/mmm (No. 123); the cell edges are 4.376, 4.376 and 4.871 Å and the angles 90.00°, 90.00° and 90.00°. The distinct sites, in fractional coordinates, are Ce at (0.000, 0.000, 0.000), In at (0.000, 0.500, 0.500) and Si at (0.500, 0.500, 0.000).

Its formation energy from raw total energies is -338 meV per atom. The value obtained for the total magnetic moment is 0.4 μB per formula unit. The total energy is -4.55 eV per atom. Its mass density is 7.08 Mg/m³.

***

- Which value of mass density does entry 2 give?
  8.78 Mg/m³